(1)
! NaAs2IrO8 PBE relaxed; values from VASP
&SYSTEM
  ibrav = 0, nat = 12, ntyp = 4
/
ATOMIC_SPECIES
As 74.92 As.upf
O 16.00 O.upf
Ir 192.22 Ir.upf
Na 22.99 Na.upf
CELL_PARAMETERS angstrom
5.493 0.000 0.000
-2.746 4.757 0.000
0.000 0.000 6.703
ATOMIC_POSITIONS crystal
As 0.667 0.333 0.266
As 0.333 0.667 0.734
O 0.158 0.842 0.811
O 0.333 0.667 0.487
O 0.158 0.316 0.811
O 0.842 0.684 0.189
O 0.316 0.158 0.189
O 0.842 0.158 0.189
O 0.667 0.333 0.513
O 0.684 0.842 0.811
Ir 0.000 0.000 0.000
Na 0.000 0.000 0.500
! symmetry: P-3m1 (164)
! formation energy from raw total energies: -930 meV/atom

---

(2)
! NaAsIrPd PBE relaxed; values from VASP
&SYSTEM
  ibrav = 0, nat = 8, ntyp = 4
/
ATOMIC_SPECIES
As 74.92 As.upf
Na 22.99 Na.upf
Ir 192.22 Ir.upf
Pd 106.42 Pd.upf
CELL_PARAMETERS angstrom
3.959 0.000 0.000
0.000 3.959 0.000
0.000 0.000 10.224
ATOMIC_POSITIONS crystal
As 0.750 0.750 0.856
As 0.250 0.250 0.144
Na 0.750 0.750 0.281
Na 0.250 0.250 0.719
Ir 0.250 0.750 0.000
Ir 0.750 0.250 0.000
Pd 0.250 0.750 0.500
Pd 0.750 0.250 0.500
! calculated formation energy: -0.161 eV per atom
! symmetry: P4/nmm (129)

---

(3)
! NaAsIrPt2 PBE relaxed; values from VASP
&SYSTEM
  ibrav = 0, nat = 5, ntyp = 4
/
ATOMIC_SPECIES
Pt 195.08 Pt.upf
Ir 192.22 Ir.upf
Na 22.99 Na.upf
As 74.92 As.upf
CELL_PARAMETERS angstrom
5.071 0.000 0.000
0.000 4.554 0.000
0.000 0.000 5.071
ATOMIC_POSITIONS crystal
Pt 0.500 0.000 0.000
Pt 0.000 0.000 0.500
Ir 0.000 0.000 0.000
Na 0.500 0.500 0.500
As 0.000 0.500 0.000
! calculated formation energy: 0.513 eV per atom
! symmetry: P4/mmm (123)

---

(4)
! NaAs2IrRh PBE relaxed; values from VASP
&SYSTEM
  ibrav = 0, nat = 5, ntyp = 4
/
ATOMIC_SPECIES
Na 22.99 Na.upf
Ir 192.22 Ir.upf
Rh 102.91 Rh.upf
As 74.92 As.upf
CELL_PARAMETERS angstrom
4.039 0.000 0.000
0.000 4.039 0.000
-2.020 -2.020 6.063
ATOMIC_POSITIONS crystal
Na 0.000 0.000 0.000
Ir 0.250 0.750 0.500
Rh 0.750 0.250 0.500
As 0.366 0.366 0.733
As 0.634 0.634 0.267
! calculated formation energy: -0.464 eV per atom
! symmetry: I-4m2 (119)

---

(5)
! Na2As2IrRh PBE relaxed; values from VASP
&SYSTEM
  ibrav = 0, nat = 12, ntyp = 4
/
ATOMIC_SPECIES
As 74.92 As.upf
Ir 192.22 Ir.upf
Rh 102.91 Rh.upf
Na 22.99 Na.upf
CELL_PARAMETERS angstrom
5.761 0.000 0.000
0.000 5.760 0.001
-2.880 -2.879 7.095
ATOMIC_POSITIONS crystal
As 0.850 0.103 0.205
As 0.355 0.603 0.205
As 0.645 0.397 0.795
As 0.150 0.897 0.795
Ir 0.500 0.750 0.000
Ir 0.500 0.250 0.000
Rh 0.000 0.750 0.000
Rh 0.000 0.250 0.000
Na 0.074 0.327 0.654
Na 0.926 0.673 0.346
Na 0.579 0.827 0.654
Na 0.421 0.173 0.346
! calculated formation energy: -0.438 eV per atom
! symmetry: Ibam (72)

---

(6)
! NaAs2IrRu PBE relaxed; values from VASP
&SYSTEM
  ibrav = 0, nat = 5, ntyp = 4
/
ATOMIC_SPECIES
Ir 192.22 Ir.upf
As 74.92 As.upf
Ru 101.07 Ru.upf
Na 22.99 Na.upf
CELL_PARAMETERS angstrom
-0.719 2.296 -3.321
0.569 -3.282 -2.392
-5.703 -0.779 3.227
ATOMIC_POSITIONS crystal
Ir 0.750 0.250 0.500
As 0.363 0.363 0.726
As 0.637 0.637 0.274
Ru 0.250 0.750 0.500
Na 0.000 0.000 0.000
! calculated formation energy: -0.392 eV per atom
! symmetry: I-4m2 (119)

---

These records have total magnetization values of 2.06 0.00 0.91 0.00 0.00 0.00 μB per formula unit, in the order they appear.